1.
Below is a relaxed Ba2ZrTc crystal, with properties calculated at the PBE level.

```
Ba2ZrTc
1.0
-0.3321 -0.9374 3.1988
2.9824 -0.6608 -1.3750
3.8147 10.1835 3.3804
Ba Tc Zr
2 1 1
Cartesian
1.7577 4.6923 1.5576 Ba
0.1497 0.3995 0.1326 Ba
2.2788 1.7468 1.7570 Tc
4.1861 6.8386 3.4472 Zr
```

Summary:
E_form in eV per atom: 1.110
Space-group type: Cmmm, No. 65

2.
Below is a relaxed Ba2ZrTc crystal, with properties calculated at the PBE level.

```
Ba2ZrTc
1.0
6.5069 0.0097 0.0000
3.4824 5.4966 0.0000
-4.9947 -2.7532 3.1326
Zr Tc Ba
1 1 2
Cartesian
3.2535 0.0048 1.5663 Zr
1.7412 2.7483 1.5663 Tc
4.9947 2.7532 0.0000 Ba
0.0000 0.0000 0.0000 Ba
```

Summary:
E_form in eV per atom: 0.966
Space-group type: I4/mmm, No. 139

3.
Below is a relaxed BaZr2Tc crystal, with properties calculated at the PBE level.

```
BaZr2Tc
1.0
-0.8664 5.3658 -2.9361
-4.8811 -0.1229 -3.7845
2.1355 -0.3187 5.7880
Ba Zr Tc
1 2 1
Cartesian
-0.8023 3.8342 -0.2542 Ba
-2.5665 2.3412 -3.0011 Zr
-0.3072 0.2803 -0.3592 Zr
-2.8097 1.0899 -0.6784 Tc
```

Summary:
E_form in eV per atom: 0.440
Space-group type: Immm, No. 71

4.
Below is a relaxed Ba2ZrTc crystal, with properties calculated at the PBE level.

```
Ba2ZrTc
1.0
6.8701 0.0040 -0.0010
3.0977 6.1321 0.0010
-4.1261 -4.4615 3.2045
Ba Tc Zr
2 1 1
Cartesian
0.1262 0.0777 0.0000 Ba
3.4153 -0.9709 1.6018 Ba
4.5950 2.8286 0.0000 Tc
2.6891 2.8073 1.6027 Zr
```

Summary:
E_form in eV per atom: 0.469
Space-group type: Imm2, No. 44

5.
Below is a relaxed BaZrTc2 crystal, with properties calculated at the PBE level.

```
BaZrTc2
1.0
4.6227 0.0030 -0.0137
3.4854 3.0367 -0.0137
0.5991 0.2246 6.8483
Tc Ba Zr
2 1 1
Cartesian
4.4425 1.6655 2.7879 Tc
8.0192 3.0064 0.5950 Tc
6.5304 2.4482 5.1156 Ba
2.1768 0.8161 1.7052 Zr
```

Summary:
E_form in eV per atom: 0.620
Space-group type: C2/m, No. 12

6.
Below is a relaxed Ba2ZrTc crystal, with properties calculated at the PBE level.

```
Ba2ZrTc
1.0
-1.2686 -11.7823 -3.5239
1.6792 -3.6754 11.6843
-2.1682 -7.5885 4.4654
Ba Zr Tc
4 2 2
Cartesian
-1.7633 -10.8509 4.3837 Ba
-1.3449 -11.7630 -0.2364 Ba
-0.6998 -15.4069 5.0655 Ba
-2.6550 -16.1786 0.8306 Ba
0.2053 -7.7288 4.0802 Zr
-0.1418 -9.4964 10.1149 Zr
-1.6157 -13.5498 2.5109 Tc
0.0000 0.0000 0.0000 Tc
```

Summary:
E_form in eV per atom: 0.748
Space-group type: I-42d, No. 122

7.
Below is a relaxed BaZr2Tc crystal, with properties calculated at the PBE level.

```
BaZr2Tc
1.0
-1.4819 -2.6542 -3.1034
-0.8125 -4.1737 0.8899
-7.5391 -0.5420 1.0576
Zr Tc Ba
2 1 1
Cartesian
-3.0750 -6.6214 -2.0041 Zr
-4.1362 -3.8914 -0.7874 Zr
-2.4584 -1.8425 -0.2890 Tc
-7.3751 -5.5274 -0.8670 Ba
```

Summary:
E_form in eV per atom: 0.273
Space-group type: C2/m, No. 12

8.
Below is a relaxed BaZr4Tc crystal, with properties calculated at the PBE level.

```
BaZr4Tc
1.0
5.8389 -0.3562 -0.4535
3.1758 -2.0038 4.5083
2.6008 -5.2479 -0.3466
Zr Tc Ba
4 1 1
Cartesian
5.9457 -3.8556 3.6711 Zr
5.6540 -5.5016 1.2078 Zr
4.3344 -2.8389 1.3837 Zr
7.2969 -3.0197 1.1536 Zr
0.0000 0.0000 0.0000 Tc
8.7116 -5.7059 2.7811 Ba
```

Summary:
E_form in eV per atom: 0.781
Space-group type: F-43m, No. 216